Record 1
# GGA-PBE ScTlAgF6, relaxed
data_ScTlAgF6
_chemical_formula_sum 'Sc1 Tl1 Ag1 F6'
_symmetry_space_group_name_H-M 'P 3 1 2'
_symmetry_Int_Tables_number 149
_cell_length_a 5.8741
_cell_length_b 5.8741
_cell_length_c 5.1505
_cell_angle_alpha 90.00
_cell_angle_beta 90.00
_cell_angle_gamma 120.00
loop_
_symmetry_equiv_pos_as_xyz
'x,y,z'
'-y,x-y,z'
'-x+y,-x,z'
'-y,-x,-z'
'-x+y,y,-z'
'x,x-y,-z'
loop_
_atom_site_label
_atom_site_type_symbol
_atom_site_fract_x
_atom_site_fract_y
_atom_site_fract_z
Sc1 Sc 0.0000 0.0000 0.0000
Tl1 Tl 0.6667 0.3333 0.5000
Ag1 Ag 0.3333 0.6667 0.0000
F1 F 0.2919 0.0006 0.2199
# ΔE_f (raw): -22.6 eV per formula unit

***

Record 2
AcTcHO6: relaxed, GGA-PBE.

Cell and atoms, written as CIF:
```
data_AcTcHO6
_chemical_formula_sum 'Ac1 Tc1 H1 O6'
_symmetry_space_group_name_H-M 'P 1'
_symmetry_Int_Tables_number 1
_cell_length_a 4.574
_cell_length_b 5.152
_cell_length_c 5.239
_cell_angle_alpha 92.87
_cell_angle_beta 95.02
_cell_angle_gamma 115.16
loop_
_symmetry_equiv_pos_as_xyz
'x,y,z'
loop_
_atom_site_label
_atom_site_type_symbol
_atom_site_fract_x
_atom_site_fract_y
_atom_site_fract_z
Ac1 Ac 0.000 0.000 0.000
Tc1 Tc 0.616 0.365 0.540
H1 H 0.360 0.807 0.618
O1 O 0.224 0.340 0.430
O2 O 0.463 0.980 0.739
O3 O 0.495 0.478 0.874
O4 O 0.589 0.103 0.287
O5 O 0.863 0.696 0.426
O6 O 0.949 0.468 0.846
```

***

Record 3
# GGA-PBE NaLaSm, relaxed
data_NaLaSm
_chemical_formula_sum 'Na2 La2 Sm2'
_symmetry_space_group_name_H-M 'I 4 m m'
_symmetry_Int_Tables_number 107
_symmetry_space_group_name_Hall 'I 4 -2'
_cell_length_a 3.590
_cell_length_b 3.590
_cell_length_c 16.807
_cell_angle_alpha 90.00
_cell_angle_beta 90.00
_cell_angle_gamma 90.00
loop_
_atom_site_label
_atom_site_type_symbol
_atom_site_fract_x
_atom_site_fract_y
_atom_site_fract_z
Na1 Na 0.000 0.000 0.000
La1 La 0.000 0.000 0.677
Sm1 Sm 0.000 0.000 0.330
# energy relative to the lowest polymorph listed for this composition: 0.0416 eV per atom

***

no.,total magnetization (μB/f.u.),raw total energy (eV/cell)
1,0.00,-45.40
2,0.22,-62.77
3,0.00,-21.15